La5Sn2N2: optimized geometry, PBE-GGA.

Summary:
formation energy from raw total energies: -96.5 kJ/mol of atoms
SG: P4/mmm (123)
E: -6.48 eV/atom

a b c (Å): 5.024 5.024 10.073
angles (deg): 90.00 90.00 90.00
Element x y z (fractional)
La  0.000  0.000  0.000
La  0.000  0.500  0.283
La  0.000  0.500  0.717
La  0.500  0.000  0.283
La  0.500  0.000  0.717
Sn  0.500  0.500  0.000
Sn  0.500  0.500  0.500
N  0.000  0.000  0.239
N  0.000  0.000  0.761